First-principles (PBE) data for a relaxed structure of CeSb2Rh3, as listed in the Alexandria database.

Cell and atoms, written as CIF:
```
data_CeSb2Rh3
_symmetry_space_group_name_H-M 'P 1'
_symmetry_Int_Tables_number 1
_cell_length_a 8.9496
_cell_length_b 8.9496
_cell_length_c 10.2358
_cell_angle_alpha 106.42
_cell_angle_beta 106.42
_cell_angle_gamma 27.13
loop_
_symmetry_equiv_pos_as_xyz
'x,y,z'
loop_
_atom_site_label
_atom_site_type_symbol
_atom_site_fract_x
_atom_site_fract_y
_atom_site_fract_z
Ce1 Ce 0.0000 0.0000 0.0000
Ce2 Ce 0.1640 0.1640 0.7035
Ce3 Ce 0.8360 0.8360 0.2965
Sb1 Sb 0.1917 0.1917 0.1261
Sb2 Sb 0.3612 0.3612 0.5479
Sb3 Sb 0.4575 0.4575 0.2217
Sb4 Sb 0.5425 0.5425 0.7783
Sb5 Sb 0.6388 0.6388 0.4521
Sb6 Sb 0.8083 0.8083 0.8739
Rh1 Rh 0.0429 0.0429 0.3302
Rh2 Rh 0.2168 0.2168 0.3914
Rh3 Rh 0.3184 0.3184 0.0392
Rh4 Rh 0.3899 0.3899 0.8127
Rh5 Rh 0.5000 0.5000 0.5000
Rh6 Rh 0.6101 0.6101 0.1873
Rh7 Rh 0.6816 0.6816 0.9608
Rh8 Rh 0.7832 0.7832 0.6086
Rh9 Rh 0.9571 0.9571 0.6698
```

Computed properties:
For the uncorrected formation energy, the calculation gives -16.505 kcal/mol of atoms. Its electronic total energy is -6.75 eV/atom. The space-group type is C2/m.



First-principles (PBE) data for a relaxed structure of Ho4Cl, as listed in the Alexandria database.

Cell and atoms, written as CIF:
```
data_Ho4Cl
_symmetry_space_group_name_H-M 'P 1'
_symmetry_Int_Tables_number 1
_cell_length_a 5.2430
_cell_length_b 5.2430
_cell_length_c 5.2430
_cell_angle_alpha 90.00
_cell_angle_beta 90.00
_cell_angle_gamma 90.00
loop_
_symmetry_equiv_pos_as_xyz
'x,y,z'
loop_
_atom_site_label
_atom_site_type_symbol
_atom_site_fract_x
_atom_site_fract_y
_atom_site_fract_z
Ho1 Ho 0.0000 0.0000 0.0000
Ho2 Ho 0.0000 0.5000 0.5000
Ho3 Ho 0.5000 0.0000 0.5000
Ho4 Ho 0.5000 0.5000 0.0000
Cl1 Cl 0.5000 0.5000 0.5000
```

Computed properties:
For the uncorrected formation energy, the calculation gives -9.790 kcal/mol of atoms. Its electronic total energy is -4.46 eV/atom. The space-group type is Pm-3m.



First-principles (PBE) data for a relaxed structure of Th4AlSbTe2, as listed in the Alexandria database.

Cell and atoms, written as CIF:
```
data_Th4AlSbTe2
_symmetry_space_group_name_H-M 'P 1'
_symmetry_Int_Tables_number 1
_cell_length_a 7.6966
_cell_length_b 4.4732
_cell_length_c 7.8137
_cell_angle_alpha 90.00
_cell_angle_beta 109.51
_cell_angle_gamma 90.00
loop_
_symmetry_equiv_pos_as_xyz
'x,y,z'
loop_
_atom_site_label
_atom_site_type_symbol
_atom_site_fract_x
_atom_site_fract_y
_atom_site_fract_z
Th1 Th 0.2270 0.0000 0.2298
Th2 Th 0.2353 0.5000 0.7595
Th3 Th 0.7647 0.5000 0.2405
Th4 Th 0.7730 0.0000 0.7702
Al1 Al 0.0000 0.5000 0.0000
Sb1 Sb 0.0000 0.0000 0.5000
Te1 Te 0.5000 0.0000 0.0000
Te2 Te 0.5000 0.5000 0.5000
```

Computed properties:
For the uncorrected formation energy, the calculation gives -18.027 kcal/mol of atoms. Its electronic total energy is -6.26 eV/atom. The space-group type is P2/m.



First-principles (PBE) data for a relaxed structure of VSi2HgAs, as listed in the Alexandria database.

Cell and atoms, written as CIF:
```
data_VSi2HgAs
_symmetry_space_group_name_H-M 'P 1'
_symmetry_Int_Tables_number 1
_cell_length_a 4.6075
_cell_length_b 4.6075
_cell_length_c 5.2118
_cell_angle_alpha 90.00
_cell_angle_beta 90.00
_cell_angle_gamma 90.00
loop_
_symmetry_equiv_pos_as_xyz
'x,y,z'
loop_
_atom_site_label
_atom_site_type_symbol
_atom_site_fract_x
_atom_site_fract_y
_atom_site_fract_z
V1 V 0.0000 0.0000 0.0000
Si1 Si 0.0000 0.5000 0.0000
Si2 Si 0.5000 0.0000 0.0000
Hg1 Hg 0.0000 0.0000 0.5000
As1 As 0.5000 0.5000 0.5000
```

Computed properties:
For the uncorrected formation energy, the calculation gives 19.831 kcal/mol of atoms. Its electronic total energy is -4.12 eV/atom. The space-group type is P4/mmm.



First-principles (PBE) data for a relaxed structure of NaAl2Ge2, as listed in the Alexandria database.

Cell and atoms, written as CIF:
```
data_NaAl2Ge2
_symmetry_space_group_name_H-M 'P 1'
_symmetry_Int_Tables_number 1
_cell_length_a 7.1587
_cell_length_b 7.1587
_cell_length_c 7.1587
_cell_angle_alpha 147.16
_cell_angle_beta 147.16
_cell_angle_gamma 47.13
loop_
_symmetry_equiv_pos_as_xyz
'x,y,z'
loop_
_atom_site_label
_atom_site_type_symbol
_atom_site_fract_x
_atom_site_fract_y
_atom_site_fract_z
Na1 Na 0.0000 0.0000 0.0000
Al1 Al 0.2500 0.7500 0.5000
Al2 Al 0.7500 0.2500 0.5000
Ge1 Ge 0.3774 0.3774 0.0000
Ge2 Ge 0.6226 0.6226 0.0000
```

Computed properties:
Its electronic total energy is -3.68 eV/atom. For the excess energy over the best structure of this formula in the dataset, the calculation gives 1.03 kJ per mole of atoms. The space-group type is I4/mmm. Its formation energy is -0.36 eV per formula unit.



First-principles (PBE) data for a relaxed structure of MnTeCl2, as listed in the Alexandria database.

Cell and atoms, written as CIF:
```
data_MnTeCl2
_symmetry_space_group_name_H-M 'P 1'
_symmetry_Int_Tables_number 1
_cell_length_a 4.4680
_cell_length_b 4.4680
_cell_length_c 4.5398
_cell_angle_alpha 90.00
_cell_angle_beta 90.00
_cell_angle_gamma 90.00
loop_
_symmetry_equiv_pos_as_xyz
'x,y,z'
loop_
_atom_site_label
_atom_site_type_symbol
_atom_site_fract_x
_atom_site_fract_y
_atom_site_fract_z
Mn1 Mn 0.0000 0.0000 0.0000
Te1 Te 0.5000 0.5000 0.0000
Cl1 Cl 0.0000 0.5000 0.5000
Cl2 Cl 0.5000 0.0000 0.5000
```

Computed properties:
For the uncorrected formation energy, the calculation gives 3.625 kcal/mol of atoms. Its electronic total energy is -3.84 eV/atom. For the excess energy over the best structure of this formula in the dataset, the calculation gives 73.19 kJ per mole of atoms. The space-group type is P4/mmm.



First-principles (PBE) data for a relaxed structure of LuTh2Ag, as listed in the Alexandria database.

Cell and atoms, written as CIF:
```
data_LuTh2Ag
_symmetry_space_group_name_H-M 'P 1'
_symmetry_Int_Tables_number 1
_cell_length_a 12.2477
_cell_length_b 12.2477
_cell_length_c 12.2477
_cell_angle_alpha 15.89
_cell_angle_beta 15.89
_cell_angle_gamma 15.89
loop_
_symmetry_equiv_pos_as_xyz
'x,y,z'
loop_
_atom_site_label
_atom_site_type_symbol
_atom_site_fract_x
_atom_site_fract_y
_atom_site_fract_z
Lu1 Lu 0.0000 0.0000 0.0000
Th1 Th 0.4138 0.4138 0.4138
Th2 Th 0.5862 0.5862 0.5862
Ag1 Ag 0.5000 0.5000 0.5000
```

Computed properties:
Its electronic total energy is -5.22 eV/atom. For the excess energy over the best structure of this formula in the dataset, the calculation gives 30.55 kJ per mole of atoms. The space-group type is R-3m. Its formation energy is 1.35 eV per formula unit.



First-principles (PBE) data for a relaxed structure of SrP2AuO, as listed in the Alexandria database.

Cell and atoms, written as CIF:
```
data_SrP2AuO
_symmetry_space_group_name_H-M 'P 1'
_symmetry_Int_Tables_number 1
_cell_length_a 5.6567
_cell_length_b 5.6567
_cell_length_c 4.3137
_cell_angle_alpha 90.00
_cell_angle_beta 90.00
_cell_angle_gamma 90.00
loop_
_symmetry_equiv_pos_as_xyz
'x,y,z'
loop_
_atom_site_label
_atom_site_type_symbol
_atom_site_fract_x
_atom_site_fract_y
_atom_site_fract_z
Sr1 Sr 0.0000 0.0000 0.0000
P1 P 0.0000 0.5000 0.0000
P2 P 0.5000 0.0000 0.0000
Au1 Au 0.5000 0.5000 0.5000
O1 O 0.0000 0.0000 0.5000
```

Computed properties:
For the uncorrected formation energy, the calculation gives 22.094 kcal/mol of atoms. Its electronic total energy is -3.19 eV/atom. For the excess energy over the best structure of this formula in the dataset, the calculation gives 90.23 kJ per mole of atoms. The space-group type is P4/mmm.